# 1
DFT (PBE-GGA) results for crystalline ZrVRu at its relaxed geometry.

abc: 5.1422 5.1539 5.1539
angles: 64.34 60.07 60.07
Fractional coordinates of all 6 atoms:
1 Zr 0.8716 0.3784 0.3784
2 Zr 0.1284 0.6216 0.6216
3 V 0.0000 0.0000 0.0000
4 V 0.5000 0.0000 0.0000
5 Ru 0.5000 0.5000 0.0000
6 Ru 0.5000 0.0000 0.5000

Values from the calculation:
- distance to the lowest polymorph of the same formula (eV/atom) = 0.0000

***

# 2
DFT (PBE-GGA) results for crystalline ZrV4Ru5 at its relaxed geometry.

abc: 2.9936 2.9936 16.1836
angles: 90.00 90.00 90.00
Fractional coordinates of all 10 atoms:
1 Zr 0.0000 0.0000 0.0000
2 V 0.0000 0.0000 0.2126
3 V 0.0000 0.0000 0.4046
4 V 0.0000 0.0000 0.5954
5 V 0.0000 0.0000 0.7874
6 Ru 0.5000 0.5000 0.1298
7 Ru 0.5000 0.5000 0.3138
8 Ru 0.5000 0.5000 0.5000
9 Ru 0.5000 0.5000 0.6862
10 Ru 0.5000 0.5000 0.8702

***

# 3
DFT (PBE-GGA) results for crystalline Zr2VRu4 at its relaxed geometry.

abc: 4.4432 4.4432 7.3095
angles: 72.31 72.31 90.00
Fractional coordinates of all 7 atoms:
1 Ru 0.8264 0.8264 0.3472
2 Ru 0.1736 0.1736 0.6528
3 Ru 0.0000 0.5000 0.0000
4 Ru 0.5000 0.0000 0.0000
5 Zr 0.6418 0.6418 0.7164
6 Zr 0.3582 0.3582 0.2836
7 V 0.0000 0.0000 0.0000

***

| no. | DFT formation energy (kJ/mol of formula units) | uncorrected energy (eV/atom) |
| --- | --- | --- |
| 1 | -118 | -9.39 |
| 2 | -297 | -9.45 |
| 3 | 268 | -8.65 |